# CuReWO2

A relaxed structure of CuReWO2 (PBE+U, Alexandria).

## Properties
Excess energy over the best structure of this formula in the dataset in eV/atom: 0.0000
Uncorrected energy in eV/cell: -33.5
V in Å³/f.u.: 80.3

Structure (CIF):
```
data_CuReWO2
_chemical_formula_sum 'Cu1 Re1 W1 O2'
_cell_length_a 3.796
_cell_length_b 3.796
_cell_length_c 5.575
_cell_angle_alpha 90.00
_cell_angle_beta 90.00
_cell_angle_gamma 90.00
_symmetry_space_group_name_H-M 'P 4/m m m'
_symmetry_Int_Tables_number 123
_symmetry_space_group_name_Hall '-P 4 2'
loop_
_atom_site_label
_atom_site_type_symbol
_atom_site_fract_x
_atom_site_fract_y
_atom_site_fract_z
_atom_site_occupancy
Cu1 Cu 0.000 0.000 0.000 1
Re1 Re 0.500 0.500 0.000 1
W1 W 0.500 0.500 0.500 1
O1 O 0.000 0.500 0.500 1
```